Material: Si2AgHg
Method: DFT, PBE
State: optimized geometry

## Properties
For the formation energy (no corrections), the calculation gives 470 meV per atom. Its density of states at the Fermi level is 1.19 states/eV/f.u.

Unit cell a=2.7889 b=4.1911 c=6.8640 alpha=90.00 beta=90.00 gamma=90.00
Last column: nearest neighbours and their distance in Å.
Sites, in units of the cell vectors:
Hg1 0.5000 0.5000 0.7500  2 Hg 2.79
Ag1 0.5000 0.5000 0.2500  2 Ag 2.79, 8 Si 2.82
Si1 0.0000 0.0000 0.0654  3 Si 2.53-2.79, 4 Ag 2.82
Si2 0.0000 0.0000 0.4346  3 Si 2.53-2.79, 4 Ag 2.82

Material: DySi2RuPt4
Method: DFT, PBE
State: optimized geometry

## Properties
For the formation energy (no corrections), the calculation gives -496 meV per atom. Its density of states at the Fermi level is 4.50 states/eV/f.u.

Unit cell a=3.8951 b=3.8951 c=9.4359 alpha=90.00 beta=90.00 gamma=90.00
Last column: nearest neighbours and their distance in Å.
Sites, in units of the cell vectors:
Ru1 0.0000 0.0000 0.5000  8 Si 2.98, 8 Pt 3.16
Pt1 0.0000 0.5000 0.2363  2 Si 2.37
Pt2 0.0000 0.5000 0.7637  2 Si 2.37
Pt3 0.5000 0.0000 0.2363  2 Si 2.37
Pt4 0.5000 0.0000 0.7637  2 Si 2.37
Si1 0.5000 0.5000 0.3789  1 Si 2.29, 4 Pt 2.37
Si2 0.5000 0.5000 0.6211  1 Si 2.29, 4 Pt 2.37
Dy1 0.0000 0.0000 0.0000  8 Pt 2.96

Material: Li2AcSm
Method: DFT, PBE
State: optimized geometry

## Properties
The energy above the most stable polymorph in this dataset is 9 meV/atom. The value obtained for the formation energy is 0.15 eV per atom. Its density of states at the Fermi level is 6.01 states/eV/f.u.

Unit cell a=5.5502 b=5.5502 c=5.5502 alpha=60.00 beta=60.00 gamma=60.00
Last column: nearest neighbours and their distance in Å.
Sites, in units of the cell vectors:
Ac1 0.0000 0.0000 0.0000  8 Li 3.40
Sm1 0.5000 0.5000 0.5000  8 Li 3.40
Li1 0.2500 0.2500 0.2500  4 Ac 3.40, 4 Sm 3.40
Li2 0.7500 0.7500 0.7500  4 Ac 3.40, 4 Sm 3.40

Number 1: theoretical density 7.5 g/cm³. Number 2: theoretical density 12.8 g/cm³. Number 3: theoretical density 5.4 g/cm³.